Record 1
Here is a geometry-optimized AsPdRu3 structure from the Alexandria database. Energies are from PBE-GGA.

Structure (POSCAR):
```
AsPdRu3
1.0
4.490 0.000 0.000
0.000 4.490 0.000
0.000 0.000 4.490
As Pd Ru
1 1 3
direct
0.000 0.000 0.000
0.500 0.500 0.500
0.000 0.000 0.500
0.000 0.500 0.000
0.500 0.000 0.000
```

As for the crystal system: cubic. Its space group is Pm-3m (221). As for the energy relative to the lowest polymorph listed for this composition: 0 meV/atom. The value obtained for the density of states at the Fermi level is 8.40 states/eV/f.u. The value obtained for the total magnetization is 1.78 Bohr magnetons per cell.

---

Record 2
Here is a geometry-optimized K2InNi structure from the Alexandria database. Energies are from PBE-GGA.

Structure (POSCAR):
```
K2InNi
1.0
4.609 0.000 0.000
0.000 4.609 0.000
0.000 0.000 5.763
K In Ni
2 1 1
direct
0.000 0.000 0.241
0.000 0.000 0.759
0.500 0.500 0.500
0.500 0.500 0.000
```

As for the crystal system: tetragonal. The uncorrected energy comes out at -2.163 eV per atom. Its space group is P4/mmm (123). The value obtained for the density of states at the Fermi level is 4.28 states/eV/f.u. The value obtained for the total magnetization is 0.08 Bohr magnetons per cell.

---

Record 3
Here is a geometry-optimized Ni7GeSb2P2 structure from the Alexandria database. Energies are from PBE-GGA.

Structure (POSCAR):
```
Ni7GeSb2P2
1.0
-1.802 1.802 13.715
1.802 -1.802 13.715
1.802 1.802 -13.715
Ni Ge Sb P
7 1 2 2
direct
0.000 0.000 0.000
0.066 0.566 0.500
0.193 0.193 0.000
0.434 0.934 0.500
0.566 0.066 0.500
0.807 0.807 0.000
0.934 0.434 0.500
0.500 0.500 0.000
0.290 0.290 0.000
0.710 0.710 0.000
0.113 0.113 0.000
0.887 0.887 0.000
```

As for the crystal system: tetragonal. The uncorrected formation energy is -309 meV/atom. Its space group is I4/mmm (139). The value obtained for the density of states at the Fermi level is 5.47 states/eV/f.u. The value obtained for the total magnetization is 0.00 Bohr magnetons per cell.

---

Record 4
Here is a geometry-optimized YMoAu2 structure from the Alexandria database. Energies are from PBE-GGA.

Structure (POSCAR):
```
YMoAu2
1.0
1.527 0.881 9.710
-1.527 0.881 9.710
0.000 -1.763 9.710
Y Mo Au
1 1 2
direct
0.000 0.000 0.000
0.500 0.500 0.500
0.244 0.244 0.244
0.756 0.756 0.756
```

As for the crystal system: trigonal. Its space group is R-3m (166). As for the energy relative to the lowest polymorph listed for this composition: 353 meV/atom. The value obtained for the density of states at the Fermi level is 4.86 states/eV/f.u. The value obtained for the total magnetization is 0.00 Bohr magnetons per cell.

---

Number 4 is which compound?
YMoAu2